Here is a geometry-optimized Zn2Ga2Bi structure from Alexandria. Energies are from PBEsol.

E above lowest polymorph	2.1	kJ/mol of atoms
magnetic moment	0.000	μB per atom
formation energy	0.10	eV/atom

Geometry as extended XYZ:
```
10
Lattice="7.7229 0.0000 0.0000 0.0000 7.7229 0.0000 0.0000 0.0000 3.2343" Properties=species:S:1:pos:R:3 pbc="T T T"
Zn 0.9258 2.9356 0.0000
Zn 2.9356 6.7970 0.0000
Zn 4.7873 0.9258 0.0000
Zn 6.7970 4.7873 0.0000
Ga 1.3450 5.2064 1.6172
Ga 2.5165 1.3450 1.6172
Ga 5.2064 6.3779 1.6172
Ga 6.3779 2.5165 1.6172
Bi 0.0000 0.0000 0.0000
Bi 3.8614 3.8614 0.0000
```



Here is a geometry-optimized Y2InTe structure from Alexandria. Energies are from PBEsol.

energy relative to the elements, uncorrected	-0.875	eV/atom
E above lowest polymorph	3.7	kJ/mol of atoms
magnetic moment	0.000	μB per atom

Geometry as extended XYZ:
```
4
Lattice="4.0079 0.0000 0.0000 0.0000 4.6300 0.0000 0.0000 0.0000 6.1041" Properties=species:S:1:pos:R:3 pbc="T T T"
Y 0.0000 0.0000 0.0000
Y 2.0040 2.3150 3.0521
In 0.0000 0.0000 3.0521
Te 2.0040 2.3150 0.0000
```



Here is a geometry-optimized ZrReRu structure from Alexandria. Energies are from PBEsol.

magnetic moment	0.000	μB per atom
formation energy	0.04	eV/atom

Geometry as extended XYZ:
```
3
Lattice="-1.6017 1.6017 4.7165 1.6017 -1.6017 4.7165 1.6017 1.6017 -4.7165" Properties=species:S:1:pos:R:3 pbc="T T T"
Zr 0.0000 0.0000 0.0000
Re 0.0000 0.0000 6.3361
Ru 0.0000 0.0000 3.1252
```



Here is a geometry-optimized Nd3Sn5Au6 structure from Alexandria. Energies are from PBEsol.

magnetic moment	0.000	μB per atom
formation energy	-0.65	eV/atom

Geometry as extended XYZ:
```
28
Lattice="4.4935 0.0000 0.0000 0.0000 13.3577 0.0000 0.0000 0.0000 10.3816" Properties=species:S:1:pos:R:3 pbc="T T T"
Nd 1.1234 0.9041 2.5508
Nd 1.1234 5.7748 2.5508
Nd 1.1234 10.0183 2.5333
Nd 3.3701 3.3394 7.8484
Nd 3.3701 7.5830 7.8309
Nd 3.3701 12.4536 7.8309
Sn 1.1234 1.1403 9.1242
Sn 1.1234 5.5385 9.1242
Sn 1.1234 8.1324 5.4278
Sn 1.1234 10.0183 8.0009
Sn 1.1234 11.9042 5.4278
Sn 3.3701 1.4535 4.9538
Sn 3.3701 3.3394 2.3807
Sn 3.3701 5.2253 4.9538
Sn 3.3701 7.8192 1.2574
Sn 3.3701 12.2174 1.2574
Au 1.1234 1.1593 6.4814
Au 1.1234 3.3394 0.4048
Au 1.1234 3.3394 4.6311
Au 1.1234 5.5195 6.4814
Au 1.1234 8.1243 10.1183
Au 1.1234 11.9123 10.1183
Au 3.3701 1.4454 0.2633
Au 3.3701 5.2335 0.2633
Au 3.3701 7.8382 3.9002
Au 3.3701 10.0183 5.7505
Au 3.3701 10.0183 9.9768
Au 3.3701 12.1984 3.9002
```



Here is a geometry-optimized YCd2Sb structure from Alexandria. Energies are from PBEsol.

energy relative to the elements, uncorrected	-0.383	eV/atom
magnetic moment	0.000	μB per atom

Geometry as extended XYZ:
```
4
Lattice="0.0000 3.0161 5.8112 2.9598 0.0000 5.8112 2.9598 3.0161 0.0000" Properties=species:S:1:pos:R:3 pbc="T T T"
Y 0.0000 0.0000 0.0000
Cd 1.4799 0.0000 2.9056
Cd 1.4799 3.0161 2.9056
Sb 2.9598 3.0161 5.8112
```



Here is a geometry-optimized CuAu structure from Alexandria. Energies are from PBEsol.

magnetic moment	0.000	μB per atom
formation energy	-0.03	eV/atom

Geometry as extended XYZ:
```
8
Lattice="4.8109 0.0000 0.0000 0.0000 4.4368 0.0000 0.0000 0.0000 5.3459" Properties=species:S:1:pos:R:3 pbc="T T T"
Cu 0.4114 1.1092 0.6766
Cu 1.9941 3.3276 3.3496
Cu 2.8168 1.1092 1.9963
Cu 4.3996 3.3276 4.6693
Au 0.5190 1.1092 3.3325
Au 1.8864 3.3276 0.6596
Au 2.9245 1.1092 4.6863
Au 4.2919 3.3276 2.0134
```